This record from Alexandria describes a relaxed structure of NbCd2InF. The functional is PBE.

total magnetic moment = 3.99 μB/f.u.
formation energy from raw total energies = 12.52 kcal/mol of atoms
raw total energy = -2.76 eV/atom
D(E_F) = 3.4 states/eV per cell
SG = P4/mmm
V = 178 Å³ per cell

abc: 5.619 5.619 5.648
angles: 90.00 90.00 90.00
Element x y z (fractional)
Nb 0.000 0.000 0.000
Cd 0.000 0.500 0.000
Cd 0.500 0.000 0.000
In 0.000 0.000 0.500
F 0.500 0.500 0.500

---

This record from Alexandria describes a relaxed structure of PaCdIn2F8. The functional is PBE.

total magnetic moment = 1.04 μB/f.u.
formation energy from raw total energies = -61.37 kcal/mol of atoms
raw total energy = -5.23 eV/atom
D(E_F) = 1.1 states/eV per cell
SG = I-4m2
V = 223 Å³ per cell

abc: 7.323 7.323 7.323
angles: 130.23 130.23 73.04
Element x y z (fractional)
Pa 0.000 0.000 0.000
Cd 0.250 0.750 0.500
In 0.500 0.500 0.000
In 0.750 0.250 0.500
F 0.104 0.095 0.421
F 0.104 0.683 0.009
F 0.317 0.326 0.421
F 0.317 0.896 0.991
F 0.674 0.095 0.991
F 0.674 0.683 0.579
F 0.905 0.326 0.009
F 0.905 0.896 0.579

---

This record from Alexandria describes a relaxed structure of CdInPbF6. The functional is PBE.

total magnetic moment = 0.00 μB/f.u.
formation energy from raw total energies = -49.49 kcal/mol of atoms
raw total energy = -4.21 eV/atom
D(E_F) = 4.4 states/eV per cell
SG = P-31c
V = 311 Å³ per cell

abc: 6.281 6.281 9.107
angles: 90.00 90.00 120.00
Element x y z (fractional)
Cd 0.000 0.000 0.000
Cd 0.000 0.000 0.500
In 0.333 0.667 0.250
In 0.667 0.333 0.750
Pb 0.333 0.667 0.750
Pb 0.667 0.333 0.250
F 0.044 0.368 0.126
F 0.044 0.676 0.374
F 0.324 0.368 0.374
F 0.324 0.956 0.126
F 0.368 0.044 0.626
F 0.368 0.324 0.874
F 0.632 0.676 0.126
F 0.632 0.956 0.374
F 0.676 0.044 0.874
F 0.676 0.632 0.626
F 0.956 0.324 0.626
F 0.956 0.632 0.874

---

This record from Alexandria describes a relaxed structure of RbCdInF2. The functional is PBE.

total magnetic moment = 0.00 μB/f.u.
formation energy from raw total energies = -23.62 kcal/mol of atoms
raw total energy = -2.70 eV/atom
D(E_F) = 0.0 states/eV per cell
SG = P4/mmm
V = 163 Å³ per cell

abc: 5.186 5.186 6.069
angles: 90.00 90.00 90.00
Element x y z (fractional)
Rb 0.000 0.000 0.000
Cd 0.000 0.000 0.500
In 0.500 0.500 0.500
F 0.000 0.500 0.000
F 0.500 0.000 0.000

---

This record from Alexandria describes a relaxed structure of Cd2InSF. The functional is PBE.

total magnetic moment = 0.00 μB/f.u.
formation energy from raw total energies = -3.67 kcal/mol of atoms
raw total energy = -2.27 eV/atom
D(E_F) = 0.9 states/eV per cell
SG = P4/mmm
V = 150 Å³ per cell

abc: 4.941 4.941 6.144
angles: 90.00 90.00 90.00
Element x y z (fractional)
Cd 0.000 0.500 0.000
Cd 0.500 0.000 0.000
In 0.000 0.000 0.500
S 0.500 0.500 0.000
F 0.500 0.500 0.500

---

This record from Alexandria describes a relaxed structure of ScCdInF6. The functional is PBE.

total magnetic moment = 0.00 μB/f.u.
formation energy from raw total energies = -65.67 kcal/mol of atoms
raw total energy = -5.20 eV/atom
D(E_F) = 0.0 states/eV per cell
SG = P312
V = 167 Å³ per cell

abc: 5.905 5.905 5.533
angles: 90.00 90.00 120.00
Element x y z (fractional)
Sc 0.000 0.000 0.000
Cd 0.333 0.667 0.000
In 0.667 0.333 0.500
F 0.032 0.305 0.203
F 0.032 0.727 0.797
F 0.273 0.305 0.797
F 0.273 0.968 0.203
F 0.695 0.727 0.203
F 0.695 0.968 0.797

---

This record from Alexandria describes a relaxed structure of Cd3InTe2F6. The functional is PBE.

total magnetic moment = 0.00 μB/f.u.
formation energy from raw total energies = -37.32 kcal/mol of atoms
raw total energy = -3.53 eV/atom
D(E_F) = 4.5 states/eV per cell
SG = C2/m
V = 247 Å³ per cell

abc: 7.224 7.224 5.807
angles: 90.96 90.96 54.58
Element x y z (fractional)
Cd 0.000 0.000 0.000
Cd 0.000 0.500 0.500
Cd 0.500 0.000 0.500
In 0.500 0.500 0.500
Te 0.211 0.211 0.895
Te 0.789 0.789 0.105
F 0.194 0.662 0.691
F 0.338 0.806 0.309
F 0.355 0.355 0.319
F 0.645 0.645 0.681
F 0.662 0.194 0.691
F 0.806 0.338 0.309

---

This record from Alexandria describes a relaxed structure of TiCdInF6. The functional is PBE.

total magnetic moment = 1.00 μB/f.u.
formation energy from raw total energies = -59.01 kcal/mol of atoms
raw total energy = -5.09 eV/atom
D(E_F) = 5.3 states/eV per cell
SG = C2
V = 164 Å³ per cell

abc: 5.908 5.908 5.424
angles: 90.04 90.04 120.04
Element x y z (fractional)
Ti 0.000 0.000 0.000
Cd 0.333 0.667 0.000
In 0.666 0.334 0.500
F 0.026 0.296 0.801
F 0.026 0.731 0.199
F 0.269 0.974 0.801
F 0.270 0.296 0.199
F 0.704 0.730 0.801
F 0.704 0.974 0.199